i:
Material: LaP2OsRu
Method: DFT, GGA-PBE
State: optimized geometry

As for the volume: 21.83 Å³/atom. The calculation puts the total magnetization at 0.8 μB per formula unit. The value obtained for the density is 7.49 Mg/m³.

Cell lengths 4.487, 5.423, 4.487 Å; angles 90.00, 90.00, 90.00 degrees
Each line ends with the local moment (μB).
Fractional coordinates of all 5 atoms:
1 Ru 0.000 0.000 0.000  -0.08
2 Os 0.500 0.500 0.500  0.95
3 P 0.000 0.000 0.500  -0.05
4 P 0.500 0.000 0.000  -0.04
5 La 0.000 0.500 0.000  -0.03

ii:
Material: LaP2OsRu
Method: DFT, GGA-PBE
State: optimized geometry

As for the volume: 17.91 Å³/atom. The calculation puts the total magnetization at 0.0 μB per formula unit. The value obtained for the density is 9.13 Mg/m³.

Cell lengths 4.069, 4.069, 6.127 Å; angles 109.39, 109.39, 90.00 degrees
Fractional coordinates of all 5 atoms:
1 La 0.000 0.000 0.000
2 P 0.642 0.642 0.285
3 P 0.358 0.358 0.715
4 Os 0.750 0.250 0.500
5 Ru 0.250 0.750 0.500

Most stable of them? ii.

i:
Material: LaP2OsS
Method: DFT, GGA-PBE
State: optimized geometry

As for the volume: 21.13 Å³/atom. The calculation puts the total magnetization at 0.0 μB per formula unit. The value obtained for the density is 6.65 Mg/m³.

Cell lengths 4.502, 4.502, 5.213 Å; angles 90.00, 90.00, 90.00 degrees
Fractional coordinates of all 5 atoms:
1 P 0.000 0.500 0.000
2 P 0.500 0.000 0.000
3 S 0.000 0.000 0.500
4 Os 0.000 0.000 0.000
5 La 0.500 0.500 0.500

ii:
Material: LaP2OsS
Method: DFT, GGA-PBE
State: optimized geometry

As for the volume: 21.09 Å³/atom. The calculation puts the total magnetization at 0.1 μB per formula unit. The value obtained for the density is 6.66 Mg/m³.

Cell lengths 4.489, 5.233, 4.489 Å; angles 90.00, 90.00, 90.00 degrees
Each line ends with the local moment (μB).
Fractional coordinates of all 5 atoms:
1 P 0.000 0.000 0.500  0.00
2 P 0.500 0.000 0.000  0.00
3 S 0.000 0.000 0.000  0.00
4 Os 0.500 0.500 0.500  0.07
5 La 0.000 0.500 0.000  0.00

Most stable of them? i.

i:
Material: LaPaOs
Method: DFT, GGA-PBE
State: optimized geometry

As for the volume: 24.35 Å³/atom. The calculation puts the total magnetization at 0.0 μB per formula unit. The value obtained for the density is 12.73 Mg/m³.

Cell lengths 3.580, 3.580, 6.239 Å; angles 106.67, 106.67, 90.00 degrees
Fractional coordinates of all 3 atoms:
1 Pa 0.301 0.301 0.603
2 Os 0.697 0.697 0.394
3 La 0.002 0.002 0.003

ii:
Material: LaPaOs
Method: DFT, GGA-PBE
State: optimized geometry

As for the volume: 27.03 Å³/atom. The calculation puts the total magnetization at 1.0 μB per formula unit. The value obtained for the density is 11.47 Mg/m³.

Cell lengths 4.859, 4.859, 4.859 Å; angles 60.00, 60.00, 60.00 degrees
Each line ends with the local moment (μB).
Fractional coordinates of all 3 atoms:
1 Pa 0.500 0.500 0.500  0.71
2 Os 0.250 0.250 0.250  -0.06
3 La 0.000 0.000 0.000  0.10

Most stable of them? i.

i:
Material: La3OsPb
Method: DFT, GGA-PBE
State: optimized geometry

As for the volume: 32.14 Å³/atom. The calculation puts the total magnetization at 0.0 μB per formula unit. The value obtained for the density is 8.41 Mg/m³.

Cell lengths 5.095, 8.236, 8.068 Å; angles 90.00, 71.70, 90.00 degrees
Fractional coordinates of all 10 atoms:
1 Pb 0.335 0.250 0.329
2 Pb 0.665 0.750 0.671
3 Os 0.730 0.250 0.539
4 Os 0.270 0.750 0.461
5 La 0.157 0.010 0.688
6 La 0.843 0.990 0.312
7 La 0.157 0.490 0.688
8 La 0.843 0.510 0.312
9 La 0.549 0.250 0.905
10 La 0.451 0.750 0.095

ii:
Material: La3OsPb
Method: DFT, GGA-PBE
State: optimized geometry

As for the volume: 29.37 Å³/atom. The calculation puts the total magnetization at 0.0 μB per formula unit. The value obtained for the density is 9.20 Mg/m³.

Cell lengths 6.673, 6.673, 6.673 Å; angles 84.81, 84.81, 84.81 degrees
Fractional coordinates of all 10 atoms:
1 Pb 0.347 0.347 0.347
2 Pb 0.653 0.653 0.653
3 Os 0.100 0.100 0.100
4 Os 0.900 0.900 0.900
5 La 0.424 0.093 0.791
6 La 0.093 0.791 0.424
7 La 0.209 0.576 0.907
8 La 0.907 0.209 0.576
9 La 0.576 0.907 0.209
10 La 0.791 0.424 0.093

iii:
Material: La3OsPb
Method: DFT, GGA-PBE
State: optimized geometry

As for the volume: 34.16 Å³/atom. The calculation puts the total magnetization at 0.0 μB per formula unit. The value obtained for the density is 7.92 Mg/m³.

Cell lengths 5.548, 5.548, 5.548 Å; angles 90.00, 90.00, 90.00 degrees
Fractional coordinates of all 5 atoms:
1 Pb 0.500 0.500 0.500
2 Os 0.000 0.000 0.000
3 La 0.000 0.500 0.000
4 La 0.000 0.000 0.500
5 La 0.500 0.000 0.000

Most stable of them? iii.

i:
Material: La3OsPb
Method: DFT, GGA-PBE
State: optimized geometry

As for the volume: 36.50 Å³/atom. The calculation puts the total magnetization at 0.0 μB per formula unit. The value obtained for the density is 7.41 Mg/m³.

Cell lengths 6.301, 6.301, 10.215 Å; angles 72.04, 72.04, 90.00 degrees
Fractional coordinates of all 10 atoms:
1 Pb 0.649 0.149 0.702
2 Pb 0.851 0.351 0.298
3 Os 0.000 0.000 0.000
4 Os 0.250 0.750 0.500
5 La 0.142 0.888 0.223
6 La 0.112 0.858 0.777
7 La 0.112 0.365 0.777
8 La 0.635 0.888 0.223
9 La 0.276 0.276 0.448
10 La 0.724 0.724 0.552

ii:
Material: La3OsPb
Method: DFT, GGA-PBE
State: optimized geometry

As for the volume: 30.84 Å³/atom. The calculation puts the total magnetization at 0.0 μB per formula unit. The value obtained for the density is 8.77 Mg/m³.

Cell lengths 25.138, 6.576, 10.019 Å; angles 90.00, 158.14, 90.00 degrees
Fractional coordinates of all 20 atoms:
1 Pb 0.598 0.882 0.833
2 Pb 0.402 0.118 0.167
3 Pb 0.902 0.382 0.667
4 Pb 0.098 0.618 0.333
5 Os 0.002 0.854 0.396
6 Os 0.998 0.146 0.604
7 Os 0.498 0.354 0.104
8 Os 0.502 0.646 0.896
9 La 0.059 0.094 0.299
10 La 0.941 0.906 0.701
11 La 0.441 0.594 0.201
12 La 0.559 0.406 0.799
13 La 0.243 0.382 0.350
14 La 0.757 0.618 0.650
15 La 0.257 0.882 0.150
16 La 0.743 0.118 0.850
17 La 0.376 0.879 0.797
18 La 0.624 0.121 0.203
19 La 0.124 0.379 0.703
20 La 0.876 0.621 0.297

iii:
Material: La3OsPb
Method: DFT, GGA-PBE
State: optimized geometry

As for the volume: 52.29 Å³/atom. The calculation puts the total magnetization at 0.0 μB per formula unit. The value obtained for the density is 5.17 Mg/m³.

Cell lengths 4.040, 9.165, 9.165 Å; angles 129.61, 90.00, 90.00 degrees
Fractional coordinates of all 5 atoms:
1 Pb 0.500 0.096 0.904
2 Os 0.000 0.404 0.596
3 La 0.500 0.202 0.322
4 La 0.500 0.678 0.798
5 La 0.000 0.248 0.752

iv:
Material: La3OsPb
Method: DFT, GGA-PBE
State: optimized geometry

As for the volume: 30.34 Å³/atom. The calculation puts the total magnetization at 0.0 μB per formula unit. The value obtained for the density is 8.91 Mg/m³.

Cell lengths 6.798, 6.798, 6.798 Å; angles 80.89, 80.89, 80.89 degrees
Fractional coordinates of all 10 atoms:
1 Pb 0.000 0.000 0.000
2 Pb 0.500 0.500 0.500
3 Os 0.250 0.250 0.250
4 Os 0.750 0.750 0.750
5 La 0.946 0.554 0.250
6 La 0.554 0.250 0.946
7 La 0.250 0.946 0.554
8 La 0.750 0.054 0.446
9 La 0.446 0.750 0.054
10 La 0.054 0.446 0.750

Most stable of them? ii.

i:
Material: La3OsPb
Method: DFT, GGA-PBE
State: optimized geometry

As for the volume: 31.69 Å³/atom. The calculation puts the total magnetization at 0.0 μB per formula unit. The value obtained for the density is 8.53 Mg/m³.

Cell lengths 8.851, 8.969, 4.808 Å; angles 90.00, 90.00, 123.88 degrees
Fractional coordinates of all 10 atoms:
1 Pb 0.719 0.023 0.587
2 Pb 0.008 0.707 0.587
3 Os 0.311 0.464 0.087
4 Os 0.402 0.242 0.087
5 La 0.333 0.621 0.587
6 La 0.940 0.368 0.087
7 La 0.614 0.329 0.587
8 La 0.359 0.927 0.087
9 La 0.146 0.138 0.587
10 La 0.717 0.726 0.087

ii:
Material: La3OsPb
Method: DFT, GGA-PBE
State: optimized geometry

As for the volume: 31.96 Å³/atom. The calculation puts the total magnetization at 0.0 μB per formula unit. The value obtained for the density is 8.46 Mg/m³.

Cell lengths 7.811, 9.214, 8.882 Å; angles 90.00, 90.00, 90.00 degrees
Fractional coordinates of all 20 atoms:
1 Pb 0.000 0.000 0.500
2 Pb 0.500 0.500 0.000
3 Pb 0.500 0.000 0.000
4 Pb 0.000 0.500 0.500
5 Os 0.604 0.250 0.515
6 Os 0.896 0.750 0.015
7 Os 0.396 0.750 0.485
8 Os 0.104 0.250 0.985
9 La 0.121 0.934 0.849
10 La 0.379 0.434 0.349
11 La 0.379 0.066 0.349
12 La 0.879 0.434 0.151
13 La 0.879 0.066 0.151
14 La 0.621 0.566 0.651
15 La 0.621 0.934 0.651
16 La 0.121 0.566 0.849
17 La 0.330 0.250 0.740
18 La 0.170 0.750 0.240
19 La 0.670 0.750 0.260
20 La 0.830 0.250 0.760

Most stable of them? i.

i:
Material: La3OsPb
Method: DFT, GGA-PBE
State: optimized geometry

As for the volume: 29.48 Å³/atom. The calculation puts the total magnetization at 0.0 μB per formula unit. The value obtained for the density is 9.17 Mg/m³.

Cell lengths 6.617, 9.949, 8.955 Å; angles 90.00, 90.00, 90.00 degrees
Fractional coordinates of all 20 atoms:
1 Pb 0.716 0.250 0.487
2 Pb 0.784 0.750 0.987
3 Pb 0.284 0.750 0.513
4 Pb 0.216 0.250 0.013
5 Os 0.000 0.000 0.500
6 Os 0.500 0.500 0.000
7 Os 0.500 0.000 0.000
8 Os 0.000 0.500 0.500
9 La 0.146 0.948 0.814
10 La 0.354 0.448 0.314
11 La 0.354 0.052 0.314
12 La 0.854 0.448 0.186
13 La 0.854 0.052 0.186
14 La 0.646 0.552 0.686
15 La 0.646 0.948 0.686
16 La 0.146 0.552 0.814
17 La 0.685 0.250 0.878
18 La 0.815 0.750 0.378
19 La 0.315 0.750 0.122
20 La 0.185 0.250 0.622

ii:
Material: La3OsPb
Method: DFT, GGA-PBE
State: optimized geometry

As for the volume: 38.22 Å³/atom. The calculation puts the total magnetization at 0.0 μB per formula unit. The value obtained for the density is 7.07 Mg/m³.

Cell lengths 10.263, 10.263, 10.263 Å; angles 60.00, 60.00, 60.00 degrees
Fractional coordinates of all 20 atoms:
1 Pb 0.625 0.625 0.625
2 Pb 0.625 0.125 0.625
3 Pb 0.125 0.625 0.625
4 Pb 0.625 0.625 0.125
5 Os 0.125 0.125 0.125
6 Os 0.125 0.625 0.125
7 Os 0.625 0.125 0.125
8 Os 0.125 0.125 0.625
9 La 0.792 0.208 0.208
10 La 0.042 0.458 0.458
11 La 0.458 0.458 0.042
12 La 0.458 0.042 0.042
13 La 0.042 0.458 0.042
14 La 0.792 0.208 0.792
15 La 0.458 0.042 0.458
16 La 0.042 0.042 0.458
17 La 0.208 0.792 0.208
18 La 0.208 0.792 0.792
19 La 0.208 0.208 0.792
20 La 0.792 0.792 0.208

Most stable of them? i.

i:
Material: La4OsPb2
Method: DFT, GGA-PBE
State: optimized geometry

As for the volume: 32.00 Å³/atom. The calculation puts the total magnetization at 0.0 μB per formula unit. The value obtained for the density is 8.60 Mg/m³.

Cell lengths 4.788, 6.480, 8.251 Å; angles 74.56, 73.13, 68.32 degrees
Fractional coordinates of all 7 atoms:
1 Pb 0.350 0.641 0.658
2 Pb 0.650 0.359 0.342
3 Os 0.000 0.000 0.000
4 La 0.066 0.211 0.657
5 La 0.934 0.789 0.343
6 La 0.333 0.279 0.054
7 La 0.667 0.721 0.946

ii:
Material: La4OsPb2
Method: DFT, GGA-PBE
State: optimized geometry

As for the volume: 35.48 Å³/atom. The calculation puts the total magnetization at 0.0 μB per formula unit. The value obtained for the density is 7.76 Mg/m³.

Cell lengths 5.368, 5.368, 9.417 Å; angles 106.56, 106.56, 90.00 degrees
Fractional coordinates of all 7 atoms:
1 Pb 0.638 0.638 0.276
2 Pb 0.362 0.362 0.724
3 Os 0.000 0.000 0.000
4 La 0.827 0.827 0.653
5 La 0.173 0.173 0.347
6 La 0.000 0.500 0.000
7 La 0.500 0.000 0.000

Most stable of them? i.